(1)
Computed, not measured: NaBBr2 after structural relaxation at the PBE level of DFT.

Results
volume = 140.3 Å³/f.u.
energy above the most stable polymorph in this dataset = 0.147 eV per atom
spin magnetization = 0.0 μB/cell
density of states at the Fermi level = 0.0 states/eV per cell

abc: 8.4632 8.4632 8.4632
angles: 30.73 30.73 30.73
Closest atoms and distances in Å follow each position.
Fractional coordinates of all 4 atoms:
Na 0.0000 0.0000 0.0000  6 Br 3.04
B 0.5000 0.5000 0.5000  2 Br 2.44
Br 0.3991 0.3991 0.3991  1 B 2.44
Br 0.6009 0.6009 0.6009  1 B 2.44



(2)
Computed, not measured: K2ZnCoOs after structural relaxation at the PBE level of DFT.

Results
volume = 168.2 Å³/f.u.
formation enthalpy at 0 K = 1177 meV/atom
spin magnetization = 2.6 μB/cell
density of states at the Fermi level = 5.0 states/eV per cell

abc: 6.1763 6.1763 4.4091
angles: 90.00 90.00 90.00
Closest atoms and distances in Å follow each position.
Fractional coordinates of all 5 atoms:
K 0.0000 0.5000 0.0000  2 Co 3.09
K 0.5000 0.0000 0.0000  2 Co 3.09
Zn 0.0000 0.0000 0.5000  8 K 3.79
Co 0.5000 0.5000 0.0000  2 Os 2.20
Os 0.5000 0.5000 0.5000  2 Co 2.20



(3)
Computed, not measured: Er6AlRh2 after structural relaxation at the PBE level of DFT.

Results
volume = 222.6 Å³/f.u.
formation enthalpy at 0 K = -583 meV/atom
spin magnetization = 0.0 μB/cell
density of states at the Fermi level = 13.9 states/eV per cell

abc: 8.3501 8.3501 8.3501
angles: 112.76 111.60 104.18
Closest atoms and distances in Å follow each position.
Fractional coordinates of all 18 atoms:
Er 0.0432 0.2394 0.8037  1 Rh 2.75, 1 Al 3.07
Er 0.1803 0.2856 0.4659  3 Rh 2.95-2.98, 1 Al 3.14
Er 0.1803 0.7144 0.8947  3 Rh 2.95-2.98, 1 Al 3.14
Er 0.3298 0.0246 0.6948  3 Rh 2.70-2.99
Er 0.3298 0.6350 0.3052  3 Rh 2.70-2.99
Er 0.4357 0.2394 0.1963  1 Rh 2.75, 1 Al 3.07
Er 0.5643 0.7606 0.8037  1 Rh 2.75, 1 Al 3.07
Er 0.6702 0.3650 0.6948  3 Rh 2.70-2.99
Er 0.6702 0.9754 0.3052  3 Rh 2.70-2.99
Er 0.8197 0.2856 0.1053  3 Rh 2.95-2.98, 1 Al 3.14
Er 0.8197 0.7144 0.5341  3 Rh 2.95-2.98, 1 Al 3.14
Er 0.9568 0.7606 0.1963  1 Rh 2.75, 1 Al 3.07
Al 0.0000 0.0000 0.0000  2 Rh 3.07, 8 Er 3.07-3.14
Al 0.5000 0.5000 0.0000  12 Er 3.25-3.60
Rh 0.1339 0.6339 0.5000  6 Er 2.70-2.95, 1 Rh 2.75
Rh 0.3270 0.0000 0.3270  8 Er 2.75-2.99, 1 Al 3.07
Rh 0.6730 0.0000 0.6730  8 Er 2.75-2.99, 1 Al 3.07
Rh 0.8661 0.3661 0.5000  6 Er 2.70-2.95, 1 Rh 2.75



(4)
Computed, not measured: GePb2Br6 after structural relaxation at the PBE level of DFT.

Results
volume = 338.9 Å³/f.u.
energy above the most stable polymorph in this dataset = 0.000 eV per atom
spin magnetization = 0.0 μB/cell
density of states at the Fermi level = 0.0 states/eV per cell

abc: 7.5227 7.5227 6.9152
angles: 90.00 90.00 120.00
Closest atoms and distances in Å follow each position.
Fractional coordinates of all 9 atoms:
Ge 0.0000 0.0000 0.0000  6 Br 2.86
Pb 0.3333 0.6667 0.0000  6 Br 3.07
Pb 0.6667 0.3333 0.0000  6 Br 3.07
Br 0.0000 0.3111 0.2381  1 Ge 2.86, 2 Pb 3.07
Br 0.0000 0.6889 0.7619  1 Ge 2.86, 2 Pb 3.07
Br 0.3111 0.0000 0.2381  1 Ge 2.86, 2 Pb 3.07
Br 0.3111 0.3111 0.7619  1 Ge 2.86, 2 Pb 3.07
Br 0.6889 0.0000 0.7619  1 Ge 2.86, 2 Pb 3.07
Br 0.6889 0.6889 0.2381  1 Ge 2.86, 2 Pb 3.07